No. 1
Compound: Mg2MnCd
Source: Alexandria
Functional: PBE-GGA
Structure: optimized geometry

a b c (Å): 5.1478 5.1478 3.0934
angles (deg): 90.76 90.76 108.09
Last column: nearest neighbours and their distance in Å.
Positions (direct):
Mg 0.0000 0.5000 0.0000  4 Cd 2.99-3.02, 4 Mn 2.99-3.02, 4 Mg 3.02-3.09
Mg 0.5000 0.0000 0.0000  4 Cd 2.99-3.02, 4 Mn 2.99-3.02, 4 Mg 3.02-3.09
Mn 0.0000 0.0000 0.5000  8 Mg 2.99-3.02, 2 Cd 3.02, 2 Mn 3.09
Cd 0.5000 0.5000 0.5000  8 Mg 2.99-3.02, 2 Mn 3.02, 2 Cd 3.09

## Properties
**Calculated formation energy**: 0.14 eV/atom
**Space-group type**: C2/m (12)
**Theoretical density**: 4.603 g/cm³
**Uncorrected energy**: -3.177 eV per atom
**Total moment**: 3.41 Bohr magnetons per cell


No. 2
Compound: MgMn3Cd
Source: Alexandria
Functional: PBE-GGA
Structure: optimized geometry

a b c (Å): 4.9959 4.9959 4.9959
angles (deg): 90.00 90.00 90.00
Last column: nearest neighbours and their distance in Å.
Positions (direct):
Mg 0.0000 0.0000 0.0000  12 Mn 3.53
Mn 0.0000 0.5000 0.5000  2 Cd 2.50
Mn 0.5000 0.0000 0.5000  2 Cd 2.50
Mn 0.5000 0.5000 0.0000  2 Cd 2.50
Cd 0.5000 0.5000 0.5000  6 Mn 2.50

## Properties
**Calculated formation energy**: 1.17 eV/atom
**Space-group type**: Pm-3m (221)
**Theoretical density**: 4.015 g/cm³
**Uncorrected energy**: -4.838 eV per atom
**Total moment**: 12.34 Bohr magnetons per cell


No. 3
Compound: Mg12Mn3Cd5
Source: Alexandria
Functional: PBE-GGA
Structure: optimized geometry

a b c (Å): 14.2674 14.2674 14.2674
angles (deg): 109.47 109.47 109.47
Last column: nearest neighbours and their distance in Å.
Positions (direct):
Mg 0.0698 0.2309 0.1402  2 Cd 2.82-2.83, 2 Mn 2.83-3.07, 1 Mg 2.95
Mg 0.0698 0.3389 0.9295  2 Cd 2.82-2.83, 2 Mn 2.83-3.07, 1 Mg 2.95
Mg 0.0705 0.6402 0.4094  2 Cd 2.82-2.83, 2 Mn 2.83-3.07, 1 Mg 2.95
Mg 0.0705 0.9302 0.6611  2 Cd 2.82-2.83, 2 Mn 2.83-3.07, 1 Mg 2.95
Mg 0.0906 0.7309 0.6611  2 Cd 2.82-2.83, 2 Mn 2.83-3.07, 1 Mg 2.95
Mg 0.0906 0.8598 0.4295  2 Cd 2.82-2.83, 2 Mn 2.83-3.07, 1 Mg 2.95
Mg 0.1402 0.0698 0.2309  2 Cd 2.82-2.83, 2 Mn 2.83-3.07, 1 Mg 2.95
Mg 0.1402 0.5705 0.9094  2 Cd 2.82-2.83, 2 Mn 2.83-3.07, 1 Mg 2.95
Mg 0.1611 0.2309 0.5906  2 Cd 2.82-2.83, 2 Mn 2.83-3.07, 1 Mg 2.95
Mg 0.1611 0.4302 0.5705  2 Cd 2.82-2.83, 2 Mn 2.83-3.07, 1 Mg 2.95
Mg 0.2309 0.1402 0.0698  2 Cd 2.82-2.83, 2 Mn 2.83-3.07, 1 Mg 2.95
Mg 0.2309 0.5906 0.1611  2 Cd 2.82-2.83, 2 Mn 2.83-3.07, 1 Mg 2.95
Mg 0.2691 0.3389 0.9094  2 Cd 2.82-2.83, 2 Mn 2.83-3.07, 1 Mg 2.95
Mg 0.2691 0.4302 0.3598  2 Cd 2.82-2.83, 2 Mn 2.83-3.07, 1 Mg 2.95
Mg 0.3389 0.9094 0.2691  2 Cd 2.82-2.83, 2 Mn 2.83-3.07, 1 Mg 2.95
Mg 0.3389 0.9295 0.0698  2 Cd 2.82-2.83, 2 Mn 2.83-3.07, 1 Mg 2.95
Mg 0.3598 0.2691 0.4302  2 Cd 2.82-2.83, 2 Mn 2.83-3.07, 1 Mg 2.95
Mg 0.3598 0.5906 0.9295  2 Cd 2.82-2.83, 2 Mn 2.83-3.07, 1 Mg 2.95
Mg 0.4094 0.0705 0.6402  2 Cd 2.82-2.83, 2 Mn 2.83-3.07, 1 Mg 2.95
Mg 0.4094 0.8389 0.7691  2 Cd 2.82-2.83, 2 Mn 2.83-3.07, 1 Mg 2.95
Mg 0.4295 0.0906 0.8598  2 Cd 2.82-2.83, 2 Mn 2.83-3.07, 1 Mg 2.95
Mg 0.4302 0.3598 0.2691  2 Cd 2.82-2.83, 2 Mn 2.83-3.07, 1 Mg 2.95
Mg 0.4302 0.5705 0.1611  2 Cd 2.82-2.83, 2 Mn 2.83-3.07, 1 Mg 2.95
Mg 0.4295 0.8389 0.5698  2 Cd 2.82-2.83, 2 Mn 2.83-3.07, 1 Mg 2.95
Mg 0.5705 0.1611 0.4302  2 Cd 2.82-2.83, 2 Mn 2.83-3.07, 1 Mg 2.95
Mg 0.5698 0.4295 0.8389  2 Cd 2.82-2.83, 2 Mn 2.83-3.07, 1 Mg 2.95
Mg 0.5698 0.6402 0.7309  2 Cd 2.82-2.83, 2 Mn 2.83-3.07, 1 Mg 2.95
Mg 0.5705 0.9094 0.1402  2 Cd 2.82-2.83, 2 Mn 2.83-3.07, 1 Mg 2.95
Mg 0.5906 0.1611 0.2309  2 Cd 2.82-2.83, 2 Mn 2.83-3.07, 1 Mg 2.95
Mg 0.5906 0.9295 0.3598  2 Cd 2.82-2.83, 2 Mn 2.83-3.07, 1 Mg 2.95
Mg 0.6402 0.4094 0.0705  2 Cd 2.82-2.83, 2 Mn 2.83-3.07, 1 Mg 2.95
Mg 0.6402 0.7309 0.5698  2 Cd 2.82-2.83, 2 Mn 2.83-3.07, 1 Mg 2.95
Mg 0.6611 0.0705 0.9302  2 Cd 2.82-2.83, 2 Mn 2.83-3.07, 1 Mg 2.95
Mg 0.6611 0.0906 0.7309  2 Cd 2.82-2.83, 2 Mn 2.83-3.07, 1 Mg 2.95
Mg 0.7309 0.5698 0.6402  2 Cd 2.82-2.83, 2 Mn 2.83-3.07, 1 Mg 2.95
Mg 0.7309 0.6611 0.0906  2 Cd 2.82-2.83, 2 Mn 2.83-3.07, 1 Mg 2.95
Mg 0.7691 0.4094 0.8389  2 Cd 2.82-2.83, 2 Mn 2.83-3.07, 1 Mg 2.95
Mg 0.7691 0.8598 0.9302  2 Cd 2.82-2.83, 2 Mn 2.83-3.07, 1 Mg 2.95
Mg 0.8389 0.5698 0.4295  2 Cd 2.82-2.83, 2 Mn 2.83-3.07, 1 Mg 2.95
Mg 0.8389 0.7691 0.4094  2 Cd 2.82-2.83, 2 Mn 2.83-3.07, 1 Mg 2.95
Mg 0.8598 0.4295 0.0906  2 Cd 2.82-2.83, 2 Mn 2.83-3.07, 1 Mg 2.95
Mg 0.8598 0.9302 0.7691  2 Cd 2.82-2.83, 2 Mn 2.83-3.07, 1 Mg 2.95
Mg 0.9094 0.1402 0.5705  2 Cd 2.82-2.83, 2 Mn 2.83-3.07, 1 Mg 2.95
Mg 0.9094 0.2691 0.3389  2 Cd 2.82-2.83, 2 Mn 2.83-3.07, 1 Mg 2.95
Mg 0.9295 0.0698 0.3389  2 Cd 2.82-2.83, 2 Mn 2.83-3.07, 1 Mg 2.95
Mg 0.9295 0.3598 0.5906  2 Cd 2.82-2.83, 2 Mn 2.83-3.07, 1 Mg 2.95
Mg 0.9302 0.6611 0.0705  2 Cd 2.82-2.83, 2 Mn 2.83-3.07, 1 Mg 2.95
Mg 0.9302 0.7691 0.8598  2 Cd 2.82-2.83, 2 Mn 2.83-3.07, 1 Mg 2.95
Mn 0.1250 0.2500 0.3750  8 Mg 2.83-3.07
Mn 0.1250 0.3750 0.7500  8 Mg 2.83-3.07
Mn 0.2500 0.3750 0.1250  8 Mg 2.83-3.07
Mn 0.2500 0.8750 0.6250  8 Mg 2.83-3.07
Mn 0.3750 0.1250 0.2500  8 Mg 2.83-3.07
Mn 0.3750 0.7500 0.1250  8 Mg 2.83-3.07
Mn 0.6250 0.2500 0.8750  8 Mg 2.83-3.07
Mn 0.6250 0.8750 0.7500  8 Mg 2.83-3.07
Mn 0.7500 0.1250 0.3750  8 Mg 2.83-3.07
Mn 0.7500 0.6250 0.8750  8 Mg 2.83-3.07
Mn 0.8750 0.6250 0.2500  8 Mg 2.83-3.07
Mn 0.8750 0.7500 0.6250  8 Mg 2.83-3.07
Cd 0.0000 0.0000 0.0000  6 Mg 2.82
Cd 0.0000 0.0000 0.5000  6 Mg 2.82
Cd 0.0000 0.5000 0.0000  6 Mg 2.82
Cd 0.0000 0.5000 0.5000  6 Mg 2.82
Cd 0.1250 0.7500 0.8750  4 Mg 2.83
Cd 0.1250 0.8750 0.2500  4 Mg 2.83
Cd 0.2500 0.1250 0.8750  4 Mg 2.83
Cd 0.2500 0.6250 0.3750  4 Mg 2.83
Cd 0.3750 0.2500 0.6250  4 Mg 2.83
Cd 0.3750 0.6250 0.7500  4 Mg 2.83
Cd 0.5000 0.0000 0.0000  6 Mg 2.82
Cd 0.5000 0.0000 0.5000  6 Mg 2.82
Cd 0.5000 0.5000 0.0000  6 Mg 2.82
Cd 0.5000 0.5000 0.5000  6 Mg 2.82
Cd 0.6250 0.3750 0.2500  4 Mg 2.83
Cd 0.6250 0.7500 0.3750  4 Mg 2.83
Cd 0.7500 0.3750 0.6250  4 Mg 2.83
Cd 0.7500 0.8750 0.1250  4 Mg 2.83
Cd 0.8750 0.1250 0.7500  4 Mg 2.83
Cd 0.8750 0.2500 0.1250  4 Mg 2.83

## Properties
**Calculated formation energy**: 0.47 eV/atom
**Space-group type**: Ia-3d (230)
**Theoretical density**: 3.026 g/cm³
**Uncorrected energy**: -2.094 eV per atom
**Total moment**: 45.42 Bohr magnetons per cell


No. 4
Compound: MgMn2Cd
Source: Alexandria
Functional: PBE-GGA
Structure: optimized geometry

a b c (Å): 4.9905 4.9905 4.9905
angles (deg): 131.57 131.57 70.91
Last column: nearest neighbours and their distance in Å.
Positions (direct):
Mg 0.0000 0.0000 0.0000  8 Mn 2.88, 4 Cd 2.89
Mn 0.2500 0.7500 0.5000  4 Cd 2.88, 4 Mg 2.88, 4 Mn 2.89
Mn 0.7500 0.2500 0.5000  4 Cd 2.88, 4 Mg 2.88, 4 Mn 2.89
Cd 0.5000 0.5000 0.0000  8 Mn 2.88, 4 Mg 2.89

## Properties
**Calculated formation energy**: 0.28 eV/atom
**Space-group type**: I4/mmm (139)
**Theoretical density**: 6.011 g/cm³
**Uncorrected energy**: -4.934 eV per atom
**Total moment**: 6.78 Bohr magnetons per cell


Look up the uncorrected energy of the third one. -2.094 eV per atom


Please write out number 2 again, unchanged.
Compound: MgMn3Cd
Source: Alexandria
Functional: PBE-GGA
Structure: optimized geometry

a b c (Å): 4.9959 4.9959 4.9959
angles (deg): 90.00 90.00 90.00
Last column: nearest neighbours and their distance in Å.
Positions (direct):
Mg 0.0000 0.0000 0.0000  12 Mn 3.53
Mn 0.0000 0.5000 0.5000  2 Cd 2.50
Mn 0.5000 0.0000 0.5000  2 Cd 2.50
Mn 0.5000 0.5000 0.0000  2 Cd 2.50
Cd 0.5000 0.5000 0.5000  6 Mn 2.50

## Properties
**Calculated formation energy**: 1.17 eV/atom
**Space-group type**: Pm-3m (221)
**Theoretical density**: 4.015 g/cm³
**Uncorrected energy**: -4.838 eV per atom
**Total moment**: 12.34 Bohr magnetons per cell


Which formula does entry 1 have? Mg2MnCd


What is the total moment in the fourth record? 6.78 Bohr magnetons per cell